Material: Y2PuSc
Method: DFT, GGA-PBE
State: optimized geometry

Computed properties:
final energy	-33.1	eV per cell
formation enthalpy at 0 K	122	meV per atom
energy above the lowest structure with this stoichiometry	1	kJ/mol of formula units
DOS(E_F)	2.537	states/eV per atom
mass density	6.66	g/cm3

Cell and atoms, written as CIF:
```
data_Y2PuSc
_symmetry_space_group_name_H-M 'P 4/m m m'
_symmetry_Int_Tables_number 123
_symmetry_space_group_name_Hall '-P 4 2'
_cell_length_a 3.4397
_cell_length_b 3.4397
_cell_length_c 9.8299
_cell_angle_alpha 90.00
_cell_angle_beta 90.00
_cell_angle_gamma 90.00
loop_
_atom_site_label
_atom_site_fract_x
_atom_site_fract_y
_atom_site_fract_z
Y1 0.0000 0.0000 0.2439
Pu1 0.5000 0.5000 0.5000
Sc1 0.5000 0.5000 0.0000
```